A geometry-optimized Nd2Sm6Ho5 structure, computed with GGA-PBE.

Cell lengths 11.787, 20.403, 3.626 Å; angles 90.00, 90.00, 90.00 degrees
Space group Pbam (No. 55)
Asymmetric unit:
Nd (0.167, 0.216, 0.000) (multiplicity 4)
Sm (0.059, 0.922, 0.000) (multiplicity 4)
Sm (0.080, 0.635, 0.000) (multiplicity 4)
Sm (0.177, 0.373, 0.500) (multiplicity 4)
Ho (0.000, 0.500, 0.500) (multiplicity 2)
Ho (0.093, 0.778, 0.500) (multiplicity 4)
Ho (0.199, 0.054, 0.500) (multiplicity 4)

Properties
- Mass density: 7674 kg/m3
- Energy of formation from the pure elements: 125 kJ/mol of formula units
- DFT total energy: -4.57 eV/atom
- M_tot: 0.000 μB/atom